[1]
VASP calculation (PBE) on a relaxed structure of CaBe2In.

Structure (POSCAR):
```
CaBe2In
1.0
3.9724 0.0000 0.0000
0.0000 3.9000 0.0000
-1.9860 0.0000 4.8666
Ca Be In
1 2 1
Cartesian
0.0000 0.0000 0.0000
1.9830 1.9500 1.1851
1.9942 0.0000 1.9998
-0.0067 1.9500 2.8064
```

Calculated values
The density of states at the Fermi level is 1.9 states/eV/f.u. The crystal system is monoclinic. For the calculated formation energy, the calculation gives 54 kJ/mol of formula units. Its magnetization is 0.000 μB per formula unit.

---

[2]
VASP calculation (PBE) on a relaxed structure of CaBeIn2.

Structure (POSCAR):
```
CaBeIn2
1.0
4.0668 0.0000 0.0000
0.0000 4.3182 0.0000
-1.9540 0.0000 5.4785
Ca Be In
1 1 2
Cartesian
0.0000 0.0000 0.0000
0.0949 2.1591 4.3648
0.0722 0.0000 3.0984
2.0901 2.1591 2.0508
```

Calculated values
The density of states at the Fermi level is 1.7 states/eV/f.u. The crystal system is monoclinic. For the calculated formation energy, the calculation gives 27 kJ/mol of formula units. Its magnetization is 0.000 μB per formula unit.

---

[3]
VASP calculation (PBE) on a relaxed structure of CaBeIn2.

Structure (POSCAR):
```
CaBeIn2
1.0
3.3616 0.0000 0.0000
0.0000 3.3616 0.0000
0.0000 0.0000 7.7857
Ca Be In
1 1 2
Cartesian
0.0000 0.0000 0.0000
0.0000 0.0000 3.8928
1.6808 1.6808 2.3433
1.6808 1.6808 5.4424
```

Calculated values
The density of states at the Fermi level is 1.2 states/eV/f.u. The crystal system is tetragonal. For the calculated formation energy, the calculation gives 19 kJ/mol of formula units. Its magnetization is 0.000 μB per formula unit.

---

[4]
VASP calculation (PBE) on a relaxed structure of CaBeIn4.

Structure (POSCAR):
```
CaBeIn4
1.0
0.0000 4.3109 4.3109
4.3109 0.0000 4.3109
4.3109 4.3109 0.0000
Ca Be In
1 1 4
Cartesian
0.0000 0.0000 0.0000
2.1554 2.1554 2.1554
5.3851 3.2366 3.2366
3.2366 5.3851 3.2366
3.2366 3.2366 5.3851
5.3851 5.3851 5.3851
```

Calculated values
The density of states at the Fermi level is 3.4 states/eV/f.u. The crystal system is cubic. For the calculated formation energy, the calculation gives 169 kJ/mol of formula units. Its magnetization is 0.000 μB per formula unit.